{
  "formula": "Rb2LiNdB2O6",
  "functional": "meta-GGA SCAN",
  "state": "single point on PBEsol structure",
  "lattice_angstrom": [[-2.927, 6.437, 0.430], [-7.765, -3.816, 4.260], [4.284, 1.345, 9.014]],
  "species": ["Li", "Li", "Li", "Li", "O", "O", "O", "O", "O", "O", "O", "O", "O", "O", "O", "O", "O", "O", "O", "O", "O", "O", "O", "O", "O", "O", "O", "O", "Rb", "Rb", "Rb", "Rb", "Rb", "Rb", "Rb", "Rb", "B", "B", "B", "B", "B", "B", "B", "B", "Nd", "Nd", "Nd", "Nd"],
  "fractional_positions": [[0.452, 0.149, 0.750], [0.452, 0.351, 0.250], [0.548, 0.851, 0.250], [0.548, 0.649, 0.750], [0.397, 0.692, 0.893], [0.397, 0.808, 0.393], [0.603, 0.308, 0.393], [0.685, 0.028, 0.250], [0.812, 0.798, 0.250], [0.603, 0.308, 0.107], [0.108, 0.750, 0.000], [0.021, 0.996, 0.250], [0.397, 0.692, 0.607], [0.108, 0.750, 0.500], [0.892, 0.250, 0.500], [0.603, 0.192, 0.607], [0.603, 0.192, 0.893], [0.188, 0.298, 0.250], [0.979, 0.496, 0.250], [0.188, 0.202, 0.750], [0.685, 0.472, 0.750], [0.812, 0.702, 0.750], [0.315, 0.972, 0.750], [0.892, 0.250, 0.000], [0.979, 0.004, 0.750], [0.021, 0.504, 0.750], [0.315, 0.528, 0.250], [0.397, 0.808, 0.107], [0.722, 0.915, 0.944], [0.722, 0.585, 0.056], [0.278, 0.415, 0.556], [0.278, 0.415, 0.944], [0.278, 0.085, 0.056], [0.722, 0.585, 0.444], [0.722, 0.915, 0.556], [0.278, 0.085, 0.444], [0.306, 0.750, 0.000], [0.841, 0.941, 0.250], [0.694, 0.250, 0.000], [0.159, 0.059, 0.750], [0.159, 0.441, 0.250], [0.306, 0.750, 0.500], [0.841, 0.559, 0.750], [0.694, 0.250, 0.500], [0.863, 0.261, 0.750], [0.137, 0.739, 0.250], [0.863, 0.239, 0.250], [0.137, 0.761, 0.750]],
  "space_group": "Pbcm",
  "formation_energy_uncorrected_mev_per_atom": -2745
}

{
  "formula": "LiNi3B",
  "functional": "meta-GGA SCAN",
  "state": "single point on PBEsol structure",
  "lattice_angstrom": [[-1.942, -2.626, 1.861], [-0.838, -1.685, -3.253], [3.107, -2.096, 0.285]],
  "species": ["B", "Li", "Ni", "Ni", "Ni"],
  "fractional_positions": [[0.000, 0.000, 0.000], [0.500, 0.500, 0.500], [0.000, 0.500, 0.000], [0.000, 0.000, 0.500], [0.500, 0.000, 0.000]],
  "space_group": "Pm-3m",
  "formation_energy_ev_per_atom": -0.107
}

{
  "formula": "LiNiB",
  "functional": "meta-GGA SCAN",
  "state": "single point on PBEsol structure",
  "lattice_angstrom": [[3.870, -0.002, -0.005], [0.807, 3.784, -0.005], [1.184, 0.957, 4.254]],
  "species": ["Ni", "Ni", "Li", "Li", "B", "B"],
  "fractional_positions": [[0.288, 0.288, 0.680], [0.687, 0.687, 0.682], [0.862, 0.360, 0.195], [0.360, 0.862, 0.195], [0.154, 0.802, 0.718], [0.802, 0.154, 0.718]],
  "space_group": "Cm",
  "formation_energy_ev_per_atom": -0.321
}

{
  "formula": "Li4NiB2O6",
  "functional": "meta-GGA SCAN",
  "state": "single point on PBEsol structure",
  "lattice_angstrom": [[3.175, 0.000, 0.000], [0.000, 7.751, 0.000], [0.000, 0.000, 9.257]],
  "species": ["O", "O", "O", "O", "O", "O", "O", "O", "O", "O", "O", "O", "Li", "Li", "Li", "Li", "Li", "Li", "Li", "Li", "B", "B", "B", "B", "Ni", "Ni"],
  "fractional_positions": [[0.500, 0.612, 0.608], [0.000, 0.112, 0.892], [0.000, 0.888, 0.108], [0.500, 0.921, 0.630], [0.500, 0.749, 0.844], [0.000, 0.249, 0.656], [0.000, 0.579, 0.130], [0.500, 0.388, 0.392], [0.500, 0.251, 0.156], [0.500, 0.079, 0.370], [0.000, 0.751, 0.344], [0.000, 0.421, 0.870], [0.000, 0.669, 0.941], [0.500, 0.169, 0.559], [0.000, 0.001, 0.288], [0.000, 0.331, 0.059], [0.500, 0.831, 0.441], [0.000, 0.999, 0.712], [0.500, 0.499, 0.788], [0.500, 0.501, 0.212], [0.500, 0.764, 0.695], [0.000, 0.736, 0.195], [0.000, 0.264, 0.805], [0.500, 0.236, 0.305], [0.500, 0.000, 0.000], [0.000, 0.500, 0.500]],
  "space_group": "Pnnm",
  "formation_energy_uncorrected_mev_per_atom": -2276
}

{
  "formula": "Li2Ni3B3O9",
  "functional": "meta-GGA SCAN",
  "state": "single point on PBEsol structure",
  "lattice_angstrom": [[-3.699, -2.266, 4.049], [4.694, -6.371, 0.723], [1.194, 6.332, 4.634]],
  "species": ["O", "O", "O", "O", "O", "O", "O", "O", "O", "O", "O", "O", "O", "O", "O", "O", "O", "O", "Ni", "Ni", "Ni", "Ni", "Ni", "Ni", "B", "B", "B", "B", "B", "B", "Li", "Li", "Li", "Li"],
  "fractional_positions": [[0.249, 0.893, 0.797], [0.000, 0.595, 0.463], [0.000, 0.865, 0.413], [0.762, 0.908, 0.106], [0.500, 0.545, 0.137], [0.265, 0.199, 0.088], [0.000, 0.547, 0.138], [0.000, 0.531, 0.753], [0.735, 0.199, 0.088], [0.500, 0.251, 0.781], [0.238, 0.908, 0.106], [0.500, 0.870, 0.414], [0.000, 0.249, 0.792], [0.500, 0.215, 0.460], [0.500, 0.533, 0.741], [0.751, 0.893, 0.797], [0.000, 0.211, 0.472], [0.500, 0.593, 0.457], [0.752, 0.612, 0.632], [0.747, 0.370, 0.989], [0.751, 0.017, 0.376], [0.248, 0.612, 0.632], [0.253, 0.370, 0.989], [0.249, 0.017, 0.376], [0.000, 0.666, 0.337], [0.500, 0.334, 0.662], [0.500, 0.670, 0.333], [0.251, 0.000, 0.998], [0.749, 0.000, 0.998], [0.000, 0.330, 0.671], [0.000, 0.723, 0.026], [0.500, 0.975, 0.701], [0.500, 0.307, 0.276], [0.000, 0.972, 0.699]],
  "space_group": "Pm",
  "formation_energy_uncorrected_mev_per_atom": -1975
}

{
  "formula": "Li2NiBO4",
  "functional": "meta-GGA SCAN",
  "state": "single point on PBEsol structure",
  "lattice_angstrom": [[4.918, -0.010, 0.000], [-0.175, 4.915, 0.000], [0.000, 0.000, 6.045]],
  "species": ["Li", "Li", "Li", "Li", "Ni", "Ni", "O", "O", "O", "O", "O", "O", "O", "O", "B", "B"],
  "fractional_positions": [[0.809, 0.191, 0.750], [0.320, 0.320, 0.500], [0.680, 0.680, 0.000], [0.191, 0.809, 0.250], [0.814, 0.186, 0.250], [0.186, 0.814, 0.750], [0.615, 0.280, 0.008], [0.720, 0.385, 0.492], [0.280, 0.615, 0.992], [0.807, 0.798, 0.704], [0.193, 0.202, 0.204], [0.202, 0.193, 0.796], [0.798, 0.807, 0.296], [0.385, 0.720, 0.508], [0.315, 0.315, 0.000], [0.685, 0.685, 0.500]],
  "space_group": "C222_1",
  "formation_energy_uncorrected_mev_per_atom": -1997
}

{
  "formula": "Li6B4O9",
  "functional": "meta-GGA SCAN",
  "state": "single point on PBEsol structure",
  "lattice_angstrom": [[-2.760, -5.733, 1.374], [6.228, -2.323, -2.278], [2.814, 2.094, 7.702]],
  "species": ["O", "O", "O", "O", "O", "O", "O", "O", "O", "O", "O", "O", "O", "O", "O", "O", "O", "O", "B", "B", "B", "B", "B", "B", "B", "B", "Li", "Li", "Li", "Li", "Li", "Li", "Li", "Li", "Li", "Li", "Li", "Li"],
  "fractional_positions": [[0.326, 0.563, 0.140], [0.846, 0.351, 0.569], [0.464, 0.015, 0.779], [0.896, 0.007, 0.336], [0.536, 0.985, 0.221], [0.180, 0.329, 0.912], [0.334, 0.238, 0.174], [0.104, 0.993, 0.664], [0.686, 0.587, 0.424], [0.241, 0.700, 0.719], [0.820, 0.671, 0.088], [0.801, 0.085, 0.952], [0.154, 0.649, 0.431], [0.759, 0.300, 0.281], [0.199, 0.915, 0.048], [0.674, 0.437, 0.860], [0.666, 0.762, 0.826], [0.314, 0.413, 0.576], [0.352, 0.044, 0.144], [0.773, 0.421, 0.430], [0.724, 0.624, 0.931], [0.276, 0.376, 0.069], [0.264, 0.901, 0.712], [0.227, 0.579, 0.570], [0.736, 0.099, 0.288], [0.648, 0.956, 0.856], [0.938, 0.804, 0.478], [0.760, 0.337, 0.059], [0.612, 0.708, 0.231], [0.062, 0.196, 0.522], [0.625, 0.529, 0.641], [0.375, 0.471, 0.359], [0.240, 0.663, 0.941], [0.935, 0.941, 0.116], [0.388, 0.292, 0.769], [0.892, 0.321, 0.784], [0.108, 0.679, 0.216], [0.065, 0.059, 0.884]],
  "space_group": "P-1",
  "relative_energy_mev_per_atom": 69,
  "formation_energy_uncorrected_mev_per_atom": -2472
}

{
  "formula": "Li5BO4",
  "functional": "meta-GGA SCAN",
  "state": "single point on PBEsol structure",
  "lattice_angstrom": [[8.483, 0.000, 0.000], [0.000, 8.554, 0.000], [0.000, 0.000, 8.826]],
  "species": ["O", "O", "O", "O", "O", "O", "O", "O", "O", "O", "O", "O", "O", "O", "O", "O", "O", "O", "O", "O", "O", "O", "O", "O", "O", "O", "O", "O", "O", "O", "O", "O", "B", "B", "B", "B", "B", "B", "B", "B", "Li", "Li", "Li", "Li", "Li", "Li", "Li", "Li", "Li", "Li", "Li", "Li", "Li", "Li", "Li", "Li", "Li", "Li", "Li", "Li", "Li", "Li", "Li", "Li", "Li", "Li", "Li", "Li", "Li", "Li", "Li", "Li", "Li", "Li", "Li", "Li", "Li", "Li", "Li", "Li"],
  "fractional_positions": [[0.037, 0.464, 0.746], [0.260, 0.554, 0.038], [0.223, 0.250, 0.244], [0.029, 0.253, 0.543], [0.760, 0.554, 0.462], [0.963, 0.964, 0.754], [0.537, 0.036, 0.254], [0.777, 0.750, 0.256], [0.037, 0.036, 0.246], [0.240, 0.446, 0.538], [0.240, 0.054, 0.038], [0.760, 0.946, 0.962], [0.740, 0.054, 0.462], [0.471, 0.747, 0.043], [0.463, 0.536, 0.246], [0.260, 0.946, 0.538], [0.723, 0.250, 0.756], [0.529, 0.247, 0.457], [0.471, 0.753, 0.543], [0.463, 0.964, 0.746], [0.537, 0.464, 0.754], [0.277, 0.750, 0.744], [0.277, 0.750, 0.244], [0.777, 0.750, 0.756], [0.029, 0.247, 0.043], [0.740, 0.446, 0.962], [0.971, 0.747, 0.457], [0.971, 0.753, 0.957], [0.963, 0.536, 0.254], [0.529, 0.253, 0.957], [0.223, 0.250, 0.744], [0.723, 0.250, 0.256], [0.130, 0.355, 0.645], [0.870, 0.855, 0.855], [0.370, 0.855, 0.645], [0.630, 0.355, 0.855], [0.130, 0.145, 0.145], [0.630, 0.145, 0.355], [0.370, 0.645, 0.145], [0.870, 0.645, 0.355], [0.403, 0.184, 0.131], [0.633, 0.080, 0.847], [0.133, 0.080, 0.653], [0.597, 0.684, 0.369], [0.863, 0.359, 0.140], [0.133, 0.420, 0.153], [0.073, 0.088, 0.902], [0.097, 0.816, 0.631], [0.815, 0.627, 0.088], [0.315, 0.627, 0.412], [0.073, 0.412, 0.402], [0.573, 0.088, 0.598], [0.637, 0.641, 0.640], [0.815, 0.873, 0.588], [0.863, 0.141, 0.640], [0.185, 0.373, 0.912], [0.363, 0.359, 0.360], [0.685, 0.373, 0.588], [0.363, 0.141, 0.860], [0.403, 0.316, 0.631], [0.427, 0.912, 0.402], [0.633, 0.420, 0.347], [0.867, 0.580, 0.847], [0.185, 0.127, 0.412], [0.903, 0.316, 0.869], [0.367, 0.920, 0.153], [0.867, 0.920, 0.347], [0.097, 0.684, 0.131], [0.927, 0.588, 0.598], [0.637, 0.859, 0.140], [0.315, 0.873, 0.912], [0.685, 0.127, 0.088], [0.597, 0.816, 0.869], [0.427, 0.588, 0.902], [0.927, 0.912, 0.098], [0.573, 0.412, 0.098], [0.903, 0.184, 0.369], [0.367, 0.580, 0.653], [0.137, 0.859, 0.360], [0.137, 0.641, 0.860]],
  "space_group": "Pbca",
  "relative_energy_mev_per_atom": 41,
  "formation_energy_uncorrected_mev_per_atom": -2242
}

{
  "formula": "Li20B54O",
  "functional": "meta-GGA SCAN",
  "state": "single point on PBEsol structure",
  "lattice_angstrom": [[-3.249, 6.225, 4.249], [-5.368, -1.502, 6.029], [9.228, -0.744, 8.381]],
  "species": ["B", "B", "B", "B", "B", "B", "B", "B", "B", "B", "B", "B", "B", "B", "B", "B", "B", "B", "B", "B", "B", "B", "B", "B", "B", "B", "B", "B", "B", "B", "B", "B", "B", "B", "B", "B", "B", "B", "B", "B", "B", "B", "B", "B", "B", "B", "B", "B", "B", "B", "B", "B", "B", "B", "Li", "Li", "Li", "Li", "Li", "Li", "Li", "Li", "Li", "Li", "Li", "Li", "Li", "Li", "Li", "Li", "Li", "Li", "Li", "Li", "O"],
  "fractional_positions": [[0.540, 0.336, 0.503], [0.871, 0.667, 0.841], [0.117, 0.546, 0.838], [0.872, 0.678, 0.502], [0.324, 0.555, 0.501], [0.665, 0.450, 0.839], [0.501, 0.002, 0.402], [0.495, 0.504, 0.600], [0.449, 0.675, 0.498], [0.991, 0.499, 0.268], [0.327, 0.534, 0.168], [0.117, 0.326, 0.837], [0.541, 0.129, 0.501], [0.325, 0.113, 0.173], [0.324, 0.546, 0.838], [0.451, 0.880, 0.501], [0.872, 0.443, 0.171], [0.494, 0.492, 0.936], [0.869, 0.465, 0.503], [0.447, 0.868, 0.170], [0.325, 0.128, 0.498], [0.545, 0.113, 0.168], [0.001, 0.487, 0.071], [0.503, 0.988, 0.267], [0.119, 0.536, 0.169], [0.447, 0.874, 0.840], [0.992, 0.510, 0.403], [0.494, 0.490, 0.268], [0.323, 0.120, 0.836], [0.116, 0.319, 0.174], [0.871, 0.450, 0.840], [0.494, 0.502, 0.403], [0.664, 0.874, 0.840], [0.495, 0.501, 0.739], [0.666, 0.443, 0.169], [0.448, 0.660, 0.168], [0.871, 0.660, 0.164], [0.117, 0.555, 0.500], [0.995, 0.501, 0.740], [0.996, 0.504, 0.601], [0.547, 0.318, 0.170], [0.447, 0.668, 0.840], [0.494, 0.000, 0.739], [0.542, 0.120, 0.837], [0.494, 0.491, 0.071], [0.665, 0.459, 0.500], [0.664, 0.867, 0.164], [0.543, 0.327, 0.837], [0.494, 0.003, 0.600], [0.490, 0.999, 0.936], [0.118, 0.338, 0.501], [0.489, 0.000, 0.071], [0.999, 0.490, 0.936], [0.667, 0.884, 0.502], [0.415, 0.790, 0.672], [0.168, 0.156, 0.001], [0.964, 0.907, 0.476], [0.676, 0.183, 0.344], [0.328, 0.329, 0.969], [0.161, 0.665, 0.003], [0.663, 0.152, 0.000], [0.661, 0.660, 0.000], [0.212, 0.567, 0.672], [0.261, 0.945, 0.338], [0.934, 0.128, 0.203], [0.181, 0.684, 0.321], [0.835, 0.848, 0.306], [0.783, 0.424, 0.673], [0.947, 0.249, 0.381], [0.656, 0.649, 0.317], [0.571, 0.213, 0.671], [0.312, 0.311, 0.318], [0.206, 0.213, 0.670], [0.774, 0.782, 0.674], [0.974, 0.001, 0.338]],
  "space_group": "P1",
  "formation_energy_uncorrected_mev_per_atom": -320
}

{
  "formula": "Li5BO4",
  "functional": "meta-GGA SCAN",
  "state": "single point on PBEsol structure",
  "lattice_angstrom": [[-3.769, 2.496, -0.030], [-2.263, -3.366, 4.242], [2.371, 3.630, 4.145]],
  "species": ["Li", "Li", "Li", "Li", "Li", "Li", "Li", "Li", "Li", "Li", "B", "B", "O", "O", "O", "O", "O", "O", "O", "O"],
  "fractional_positions": [[0.259, 0.240, 0.198], [0.741, 0.260, 0.698], [0.826, 0.500, 0.000], [0.741, 0.740, 0.302], [0.259, 0.760, 0.802], [0.174, 0.000, 0.500], [0.741, 0.260, 0.302], [0.741, 0.740, 0.698], [0.259, 0.760, 0.198], [0.259, 0.240, 0.802], [0.780, 0.000, 0.000], [0.220, 0.500, 0.500], [0.032, 0.500, 0.710], [0.595, 0.785, 0.000], [0.405, 0.285, 0.500], [0.968, 0.000, 0.790], [0.032, 0.500, 0.290], [0.968, 0.000, 0.210], [0.595, 0.215, 0.000], [0.405, 0.715, 0.500]],
  "space_group": "Pmmn",
  "relative_energy_mev_per_atom": 0,
  "formation_energy_uncorrected_mev_per_atom": -2283
}

{
  "formula": "LiBO2",
  "functional": "meta-GGA SCAN",
  "state": "single point on PBEsol structure",
  "lattice_angstrom": [[4.364, 0.000, 0.000], [0.000, 5.853, -0.173], [0.000, -2.581, 5.821]],
  "species": ["O", "O", "O", "O", "O", "O", "O", "O", "B", "B", "B", "B", "Li", "Li", "Li", "Li"],
  "fractional_positions": [[0.643, 0.085, 0.259], [0.857, 0.085, 0.759], [0.223, 0.356, 0.316], [0.357, 0.915, 0.741], [0.143, 0.915, 0.241], [0.277, 0.356, 0.816], [0.723, 0.644, 0.184], [0.777, 0.644, 0.684], [0.177, 0.125, 0.772], [0.823, 0.875, 0.228], [0.323, 0.125, 0.272], [0.677, 0.875, 0.728], [0.213, 0.567, 0.657], [0.787, 0.433, 0.343], [0.287, 0.567, 0.157], [0.713, 0.433, 0.843]],
  "space_group": "P2_1/c",
  "formation_energy_uncorrected_mev_per_atom": -2587
}